Compound: CeGdIn4
Source: Alexandria via LeMat-Bulk
Functional: PBE
Structure: optimized geometry

Calculated values
VASP energy ... -5.5073 eV/atom
Energy of formation ... -33 kJ per mole of atoms
Density of states at the Fermi level ... 10.33 states/eV/cell

Unit cell a=6.0668 b=6.0668 c=6.0668 alpha=60.00 beta=60.00 gamma=60.00
Each line ends with the local moment (μB).
Fractional positions:
In (0.6250, 0.1251, 0.6250)  -0.02
In (0.6250, 0.6250, 0.1251)  -0.02
In (0.6250, 0.6250, 0.6250)  -0.02
In (0.1251, 0.6250, 0.6250)  -0.02
Gd (0.0000, 0.0000, 0.0000)  7.21
Ce (0.2500, 0.2500, 0.2500)  0.91

Compound: PmNd12Mg3
Source: Alexandria via LeMat-Bulk
Functional: PBE
Structure: optimized geometry

Calculated values
VASP energy ... -4.1691 eV/atom
Energy of formation ... 0 kJ per mole of atoms
Density of states at the Fermi level ... 26.52 states/eV/cell

Unit cell a=5.0717 b=5.0717 c=20.4216 alpha=90.00 beta=90.00 gamma=90.00
Fractional positions:
Nd (0.0000, 0.5000, 0.8707)
Nd (0.5000, 0.0000, 0.3770)
Nd (0.0000, 0.5000, 0.6230)
Nd (0.5000, 0.5000, 0.7458)
Nd (0.5000, 0.0000, 0.1293)
Nd (0.0000, 0.5000, 0.3770)
Nd (0.5000, 0.5000, 0.2542)
Nd (0.5000, 0.5000, 0.0000)
Nd (0.5000, 0.0000, 0.6230)
Nd (0.0000, 0.5000, 0.1293)
Nd (0.5000, 0.0000, 0.8707)
Nd (0.5000, 0.5000, 0.5000)
Mg (0.0000, 0.0000, 0.2549)
Mg (0.0000, 0.0000, 0.5000)
Mg (0.0000, 0.0000, 0.7451)
Pm (0.0000, 0.0000, 0.0000)

Compound: HfMn2Fe2
Source: Alexandria via LeMat-Bulk
Functional: PBE
Structure: optimized geometry

Calculated values
VASP energy ... -9.0420 eV/atom
Energy of formation ... 0 kJ per mole of atoms
Density of states at the Fermi level ... 6.49 states/eV/cell

Unit cell a=3.7663 b=3.7663 c=5.3612 alpha=69.44 beta=69.44 gamma=90.00
Each line ends with the local moment (μB).
Fractional positions:
Fe (0.2500, 0.7500, 0.5000)  0.34
Fe (0.7500, 0.2500, 0.5000)  0.34
Mn (0.3883, 0.3883, 0.2234)  -0.06
Mn (0.6117, 0.6117, 0.7766)  -0.06
Hf (0.0000, 0.0000, 0.0000)  0.00

Compound: CuReP2Cl
Source: Alexandria via LeMat-Bulk
Functional: PBE
Structure: optimized geometry

Calculated values
VASP energy ... -5.1628 eV/atom
Density of states at the Fermi level ... 4.16 states/eV/cell
Formation energy (no corrections) ... 0.6794 eV per atom

Unit cell a=4.5331 b=4.5331 c=5.2154 alpha=90.00 beta=90.00 gamma=90.00
Fractional positions:
Cl (0.0000, 0.0000, 0.5000)
Re (0.0000, 0.0000, 0.0000)
Cu (0.5000, 0.5000, 0.5000)
P (0.0000, 0.5000, 0.0000)
P (0.5000, 0.0000, 0.0000)

Compound: CsAlP
Source: Alexandria via LeMat-Bulk
Functional: PBE
Structure: optimized geometry

Calculated values
VASP energy ... -3.6488 eV/atom
Energy of formation ... -30 kJ per mole of atoms
Density of states at the Fermi level ... 2.54 states/eV/cell

Unit cell a=7.3939 b=7.4246 c=8.3275 alpha=90.00 beta=121.69 gamma=90.00
Fractional positions:
Cs (0.7160, 0.8529, 0.3796)
Cs (0.2840, 0.1471, 0.6204)
Cs (0.2160, 0.6471, 0.8796)
Cs (0.7840, 0.3529, 0.1204)
Al (0.7802, 0.8823, 0.9153)
Al (0.2802, 0.6177, 0.4153)
Al (0.7198, 0.3823, 0.5847)
Al (0.2198, 0.1177, 0.0847)
P (0.1154, 0.8695, 0.2065)
P (0.3846, 0.3695, 0.2935)
P (0.6154, 0.6305, 0.7065)
P (0.8846, 0.1305, 0.7935)

Compound: Zn2WBr
Source: Alexandria via LeMat-Bulk
Functional: PBE
Structure: optimized geometry

Calculated values
VASP energy ... -3.9049 eV/atom
Density of states at the Fermi level ... 0.38 states/eV/cell
Formation energy (no corrections) ... 0.3885 eV per atom

Unit cell a=8.5336 b=8.5336 c=8.5336 alpha=21.15 beta=21.15 gamma=21.15
Fractional positions:
Zn (0.4978, 0.4978, 0.4978)
Zn (0.0022, 0.0022, 0.0022)
W (0.7500, 0.7500, 0.7500)
Br (0.2500, 0.2500, 0.2500)

Compound: NaPaBi2O8
Source: Alexandria via LeMat-Bulk
Functional: PBE
Structure: optimized geometry

Calculated values
VASP energy ... -6.3337 eV/atom
Density of states at the Fermi level ... 0.64 states/eV/cell
Formation energy (no corrections) ... -1.4802 eV per atom

Unit cell a=6.3680 b=6.3680 c=6.3680 alpha=107.46 beta=107.46 gamma=113.58
Fractional positions:
Bi (0.7500, 0.2500, 0.5000)
Bi (0.5000, 0.5000, 0.0000)
O (0.3554, 0.0648, 0.2907)
O (0.5352, 0.7173, 0.8178)
O (0.2827, 0.1005, 0.8178)
O (0.8995, 0.7173, 0.1822)
O (0.2827, 0.4648, 0.1822)
O (0.9352, 0.2259, 0.2907)
O (0.7741, 0.0648, 0.7093)
O (0.9352, 0.6446, 0.7093)
Pa (0.0000, 0.0000, 0.0000)
Na (0.2500, 0.7500, 0.5000)

Compound: Ce4GeRu
Source: Alexandria via LeMat-Bulk
Functional: PBE
Structure: optimized geometry

Calculated values
VASP energy ... -6.6870 eV/atom
Energy of formation ... -40 kJ per mole of atoms
Density of states at the Fermi level ... 25.91 states/eV/cell

Unit cell a=5.9528 b=7.9676 c=7.5543 alpha=114.09 beta=103.56 gamma=107.60
Fractional positions:
Ce (0.7603, 0.6753, 0.6098)
Ce (0.6504, 0.0654, 0.3902)
Ce (0.3496, 0.9346, 0.6098)
Ce (0.2397, 0.3247, 0.3902)
Ce (0.9815, 0.7983, 0.1828)
Ce (0.7014, 0.3846, 0.1828)
Ce (0.0185, 0.2017, 0.8172)
Ce (0.2986, 0.6154, 0.8172)
Ge (0.6381, 0.3881, 0.7762)
Ge (0.3619, 0.6119, 0.2238)
Ru (0.7524, 0.0024, 0.0048)
Ru (0.2476, 0.9976, 0.9952)

Compound: MgAl2Zn2
Source: Alexandria via LeMat-Bulk
Functional: PBE
Structure: optimized geometry

Calculated values
VASP energy ... -2.1792 eV/atom
Energy of formation ... 14 kJ per mole of atoms
Density of states at the Fermi level ... 4.07 states/eV/cell

Unit cell a=6.2550 b=6.2550 c=7.2622 alpha=97.97 beta=97.97 gamma=132.68
Fractional positions:
Al (0.2033, 0.7967, 0.0000)
Al (0.7967, 0.2033, 0.0000)
Al (0.4533, 0.5467, 0.5000)
Al (0.0467, 0.9533, 0.5000)
Mg (0.7500, 0.2500, 0.5000)
Mg (0.5000, 0.5000, 0.0000)
Zn (0.0929, 0.0929, 0.1859)
Zn (0.9071, 0.9071, 0.8141)
Zn (0.3429, 0.8429, 0.6859)
Zn (0.1571, 0.6571, 0.3141)

Compound: Mo2Ru3Pt3
Source: Alexandria via LeMat-Bulk
Functional: PBE
Structure: optimized geometry

Calculated values
VASP energy ... -8.6234 eV/atom
Energy of formation ... -17 kJ per mole of atoms
Density of states at the Fermi level ... 6.35 states/eV/cell

Unit cell a=3.9757 b=3.8968 c=7.6719 alpha=90.00 beta=90.00 gamma=90.00
Fractional positions:
Mo (0.0000, 0.0000, 0.7437)
Mo (0.0000, 0.0000, 0.2563)
Ru (0.0000, 0.5000, 0.0000)
Ru (0.5000, 0.0000, 0.5000)
Ru (0.0000, 0.5000, 0.5000)
Pt (0.5000, 0.0000, 0.0000)
Pt (0.5000, 0.5000, 0.7464)
Pt (0.5000, 0.5000, 0.2536)

Compound: GeTeOs
Source: Alexandria via LeMat-Bulk
Functional: PBE
Structure: optimized geometry

Calculated values
VASP energy ... -6.1430 eV/atom
Density of states at the Fermi level ... 1.63 states/eV/cell
Formation energy (no corrections) ... 0.1866 eV per atom

Unit cell a=4.2183 b=4.9995 c=6.2929 alpha=71.52 beta=74.00 gamma=84.47
Fractional positions:
Te (0.2869, 0.7687, 0.4370)
Te (0.7131, 0.2313, 0.5630)
Ge (0.8944, 0.2410, 0.0430)
Ge (0.1056, 0.7590, 0.9570)
Os (0.3011, 0.3378, 0.2424)
Os (0.6989, 0.6622, 0.7576)

Compound: Th6TcSe5
Source: Alexandria via LeMat-Bulk
Functional: PBE
Structure: optimized geometry

Calculated values
VASP energy ... -7.3553 eV/atom
Density of states at the Fermi level ... 8.45 states/eV/cell
Formation energy (no corrections) ... -1.3296 eV per atom

Unit cell a=7.3134 b=7.3650 c=7.3165 alpha=59.78 beta=80.29 gamma=70.41
Fractional positions:
Tc (0.0000, 0.0000, 0.0000)
Th (0.7645, 0.0782, 0.3147)
Th (0.2355, 0.9218, 0.6853)
Th (0.7645, 0.3929, 0.6853)
Th (0.2464, 0.2362, 0.0000)
Th (0.7536, 0.7638, 0.0000)
Th (0.2355, 0.6071, 0.3147)
Se (0.5000, 0.5000, 0.0000)
Se (0.5000, 0.1757, 0.6486)
Se (0.0000, 0.6650, 0.6700)
Se (0.0000, 0.3350, 0.3300)
Se (0.5000, 0.8243, 0.3514)